# 1
This record from Alexandria via LeMat-Bulk describes a PBEsol-optimized structure of ZnCrSe3. The functional is meta-GGA SCAN.

Results
Total DFT energy (no corrections): -91.07 eV for the cell shown
E_form (uncorrected): 0.213 eV/atom

abc: 4.7106 4.7106 4.7106
angles: 90.00 90.00 90.00
Closest atoms and distances in Å follow each position.
Atoms (fractional coordinates):
Cr1 0.0000 0.0000 0.0000  6 Se 2.36
Zn1 0.5000 0.5000 0.5000  12 Se 3.33
Se1 0.0000 0.5000 0.0000  2 Cr 2.36
Se2 0.0000 0.0000 0.5000  2 Cr 2.36
Se3 0.5000 0.0000 0.0000  2 Cr 2.36

---

# 2
This record from Alexandria via LeMat-Bulk describes a PBEsol-optimized structure of ZnCr2Se. The functional is meta-GGA SCAN.

Results
Total DFT energy (no corrections): -69.44 eV for the cell shown
E_form (uncorrected): 0.231 eV/atom

abc: 4.3146 4.3146 4.3146
angles: 60.00 60.00 60.00
Closest atoms and distances in Å follow each position.
Atoms (fractional coordinates):
Cr1 0.0000 0.0000 0.0000  4 Zn 2.64, 4 Cr 2.64
Cr2 0.2500 0.2500 0.2500  4 Cr 2.64, 4 Se 2.64
Se1 0.5000 0.5000 0.5000  4 Cr 2.64, 4 Zn 2.64
Zn1 0.7500 0.7500 0.7500  4 Cr 2.64, 4 Se 2.64

---

# 3
This record from Alexandria via LeMat-Bulk describes a PBEsol-optimized structure of ZnCr2Se. The functional is meta-GGA SCAN.

Results
Total DFT energy (no corrections): -69.62 eV for the cell shown
E_form (uncorrected): 0.186 eV/atom

abc: 3.6190 3.6190 5.0150
angles: 111.15 111.15 90.00
Closest atoms and distances in Å follow each position.
Atoms (fractional coordinates):
Cr1 0.0000 0.0000 0.0000  4 Se 2.56, 4 Cr 2.82, 4 Zn 2.82
Cr2 0.7500 0.2500 0.5000  4 Zn 2.56, 4 Cr 2.82, 4 Se 2.82
Se1 0.5000 0.5000 0.0000  8 Cr 2.56-2.82, 4 Zn 2.82
Zn1 0.2500 0.7500 0.5000  8 Cr 2.56-2.82, 4 Se 2.82

---

# 4
This record from Alexandria via LeMat-Bulk describes a PBEsol-optimized structure of ZrCrSe. The functional is meta-GGA SCAN.

Results
Total DFT energy (no corrections): -70.43 eV for the cell shown
E_form (uncorrected): -0.421 eV/atom

abc: 3.3597 3.3597 5.1691
angles: 108.96 108.96 90.00
Closest atoms and distances in Å follow each position.
Atoms (fractional coordinates):
Cr1 0.0071 0.0071 0.0142  4 Se 2.76, 5 Zr 2.87-2.98
Se1 0.6607 0.6607 0.3215  4 Cr 2.76, 5 Zr 2.85-3.02
Zr1 0.3322 0.3322 0.6643  5 Se 2.85-3.02, 5 Cr 2.87-2.98

---

Across the entries above, Fermi-level density of states takes the values 5.57, 1.62, 2.22, 1.36 states/eV per cell, respectively.